A relaxed structure of Y2Ta2Cr. Source: the Alexandria database, functional PBE-GGA.

Cell lengths 4.2198, 4.2198, 13.7857 Å; angles 90.00, 90.00, 90.00 degrees
With the nearest neighbours (Å) after each atom.
Space group I4/mmm (No. 139)
Asymmetric unit:
Y  0.0000  0.5000  0.2500 x4  4 Y 2.98, 4 Ta 3.11
Ta  0.0000  0.0000  0.0847 x4  1 Ta 2.33
Cr  0.0000  0.0000  0.5000 x2  8 Ta 3.20

Magnetic moment = 6.028 μB per cell
E_tot = -8.018 eV per atom
Energy of formation = 1233 meV per atom

A relaxed structure of KLiMg2Br6. Source: the Alexandria database, functional PBE-GGA.

Cell lengths 14.1804, 13.9155, 7.8787 Å; angles 90.00, 110.56, 90.00 degrees
With the nearest neighbours (Å) after each atom.
Space group C2/c (No. 15)
Asymmetric unit:
K  0.0000  0.1196  0.2500 x4  6 Br 3.26-3.40
Li  0.0000  0.2064  0.7500 x4  4 Br 2.55-2.62
Mg  0.1913  0.4223  0.1947 x8  4 Br 2.51-2.57
Br  0.1171  0.2646  0.0583 x8  1 Mg 2.51, 1 Li 2.55
Br  0.1191  0.0804  0.6805 x8  1 Mg 2.52, 1 Li 2.62
Br  0.1349  0.4401  0.4697 x8  2 Mg 2.54-2.57

Magnetic moment = 0.000 μB per cell
E_tot = -3.130 eV per atom

A relaxed structure of SrIn4Pt4. Source: the Alexandria database, functional PBE-GGA.

Cell lengths 6.8603, 6.8603, 8.7967 Å; angles 90.00, 90.00, 90.00 degrees
With the nearest neighbours (Å) after each atom.
Space group P4_2/nmc (No. 137, origin choice 2)
Asymmetric unit:
Sr  0.2500  0.7500  0.2500 x2  4 Pt 3.48, 4 In 3.71
In  0.0008  0.2500  0.1238 x8  5 Pt 2.73-2.76
Pt  0.0513  0.2500  0.4320 x8  1 Pt 2.73, 5 In 2.73-2.76

Magnetic moment = 0.000 μB per cell
E_tot = -4.637 eV per atom
Energy of formation = -548 meV per atom

A relaxed structure of La3Tb3Ho8. Source: the Alexandria database, functional PBE-GGA.

Cell lengths 5.6841, 10.7945, 15.2062 Å; angles 90.00, 90.00, 90.00 degrees
With the nearest neighbours (Å) after each atom.
Space group Immm (No. 71)
Asymmetric unit:
La  0.0000  0.0000  0.0000 x2  4 Tb 3.59, 4 Ho 3.99, 4 La 4.01
La  0.0000  0.5000  0.3144 x4  2 Tb 3.57, 8 Ho 3.64-3.68
Tb  0.0000  0.0000  0.5000 x2  2 Tb 3.20
Tb  0.0000  0.2968  0.5000 x4  1 Tb 3.20, 4 Ho 3.56, 2 La 3.57
Ho  0.0000  0.1619  0.2815 x8  6 Ho 3.35-3.55, 1 Tb 3.63, 3 La 3.64-3.68
Ho  0.0000  0.3408  0.1018 x8  5 Ho 3.10-3.44

Magnetic moment = 0.000 μB per cell
E_tot = -4.560 eV per atom
Energy of formation = 103 meV per atom

What is the magnetic moment in the first record? 6.028 μB per cell